Entry 1:
SrNbSb | GGA-PBE | relaxed

Summary:
* polymorph energy (0 for the lowest one): 0.0 meV per atom

Cell lengths 5.018, 5.018, 5.018 Å; angles 60.00, 60.00, 60.00 degrees
Last column: magnetic moment on the atom in μB.
Atoms (fractional coordinates):
Nb1 0.250 0.250 0.250  1.35
Sb1 0.000 0.000 0.000  -0.06
Sr1 0.750 0.750 0.750  0.02


Entry 2:
SrNbSb | GGA-PBE | relaxed

Summary:
* polymorph energy (0 for the lowest one): 604.8 meV per atom

Cell lengths 5.245, 5.245, 5.245 Å; angles 60.00, 60.00, 60.00 degrees
Atoms (fractional coordinates):
Nb1 0.250 0.250 0.250
Sb1 0.750 0.750 0.750
Sr1 0.000 0.000 0.000


Entry 3:
TaNbSb | GGA-PBE | relaxed

Summary:
* E_tot: -8.08 eV/atom

Cell lengths 4.614, 4.614, 4.614 Å; angles 60.00, 60.00, 60.00 degrees
Atoms (fractional coordinates):
Nb1 0.250 0.250 0.250
Sb1 0.750 0.750 0.750
Ta1 0.000 0.000 0.000


Calculated M_tot (μB/atom), listed in the same order as above: 0.549; 1.334; 0.078